VASP calculation (GGA-PBE) on Zn2OsW after structural relaxation.

Lattice parameters (Å, degrees): 3.000 3.000 6.676 90.00 90.00 90.00
Sites, in units of the cell vectors:
Zn  0.000  0.000  0.000
Zn  0.500  0.500  0.243
Os  0.000  0.000  0.498
W  0.500  0.500  0.724

Electronic total energy in eV per atom: -6.585
ΔH_f (0 K) in eV per formula unit: 0.392
Energy above the lowest structure with this stoichiometry in eV per formula unit: 0.00
SG: P4mm (99)

VASP calculation (GGA-PBE) on ZnOsW after structural relaxation.

Lattice parameters (Å, degrees): 3.091 3.091 9.356 90.00 90.00 90.00
Sites, in units of the cell vectors:
Zn  0.000  0.000  0.000
Zn  0.500  0.500  0.500
Os  0.000  0.000  0.668
Os  0.500  0.500  0.168
W  0.000  0.000  0.322
W  0.500  0.500  0.822

Electronic total energy in eV per atom: -8.329
ΔH_f (0 K) in eV per formula unit: 0.469
Energy above the lowest structure with this stoichiometry in eV per formula unit: 0.28
SG: I4mm (107)

VASP calculation (GGA-PBE) on Zn2Os2W after structural relaxation.

Lattice parameters (Å, degrees): 3.246 3.246 14.419 90.00 90.00 90.00
Sites, in units of the cell vectors:
Zn  0.000  0.500  0.250
Zn  0.000  0.500  0.750
Zn  0.500  0.000  0.250
Zn  0.500  0.000  0.750
Os  0.000  0.000  0.100
Os  0.000  0.000  0.900
Os  0.500  0.500  0.400
Os  0.500  0.500  0.600
W  0.000  0.000  0.500
W  0.500  0.500  0.000

Electronic total energy in eV per atom: -7.217
ΔH_f (0 K) in eV per formula unit: 1.875
Energy above the lowest structure with this stoichiometry in eV per formula unit: 0.00
SG: I4/mmm (139)